# AgSbS2

A relaxed AgSbS2 crystal (PBE, the Alexandria database).

Unit cell a=3.9685 b=3.9685 c=5.3946 alpha=90.00 beta=90.00 gamma=90.00
Last column: nearest neighbours and their distance in Å.
Space group P4/mmm (No. 123)
Symmetry-distinct sites (fractional):
1 Ag 0.0000 0.0000 0.0000 (multiplicity 1)  6 S 2.70-2.81
2 Sb 0.5000 0.5000 0.5000 (multiplicity 1)  6 S 2.70-2.81
3 S 0.0000 0.0000 0.5000 (multiplicity 1)  2 Ag 2.70, 4 Sb 2.81
4 S 0.5000 0.5000 0.0000 (multiplicity 1)  2 Sb 2.70, 4 Ag 2.81

Results
**Raw formation energy**: -0.077 eV/atom
**E_tot**: -3.8837 eV/atom
**Crystal system**: tetragonal
**Density of states at the Fermi level**: 0.01 states/eV per atom